No. 1
Er3Sb2O2 after structural relaxation, computed with GGA-PBE.

abc: 3.818 7.342 6.357
angles: 108.02 107.47 90.00
Positions (direct):
Er1 0.000 0.500 0.000
Er2 0.310 0.708 0.620
Er3 0.690 0.292 0.380
Sb1 0.618 0.838 0.235
Sb2 0.382 0.162 0.765
O1 0.837 0.579 0.674
O2 0.163 0.421 0.326

Calculated values
DOS(E_F)   0.11 states/eV per atom
Formation energy without anion corrections   -2.172 eV per atom
Crystal system   monoclinic
Final energy   -6.722 eV/atom

No. 2
ErSbO after structural relaxation, computed with GGA-PBE.

abc: 3.372 3.372 12.439
angles: 90.00 90.00 120.00
Positions (direct):
Er1 0.000 0.000 0.000
Er2 0.333 0.667 0.500
Sb1 0.000 0.000 0.291
Sb2 0.000 0.000 0.709
O1 0.333 0.667 0.903
O2 0.333 0.667 0.097

Calculated values
Energy above the lowest structure with this stoichiometry   181 kJ/mol of formula units
DOS(E_F)   0.53 states/eV per atom
Formation energy without anion corrections   -1.359 eV per atom
Crystal system   hexagonal
Final energy   -5.907 eV/atom

No. 3
Er3Sb5O12 after structural relaxation, computed with GGA-PBE.

abc: 9.372 9.372 9.372
angles: 109.47 109.47 109.47
Positions (direct):
Er1 0.750 0.250 0.500
Er2 0.750 0.500 0.250
Er3 0.500 0.250 0.750
Er4 0.500 0.750 0.250
Er5 0.250 0.750 0.500
Er6 0.250 0.500 0.750
Sb1 0.516 0.000 0.000
Sb2 0.283 0.000 0.283
Sb3 0.283 0.283 0.000
Sb4 0.717 0.000 0.717
Sb5 0.717 0.717 0.000
Sb6 0.000 0.516 0.000
Sb7 0.000 0.000 0.516
Sb8 0.484 0.484 0.484
Sb9 0.000 0.283 0.283
Sb10 0.000 0.717 0.717
O1 0.480 0.000 0.203
O2 0.480 0.203 0.000
O3 0.704 0.501 0.000
O4 0.704 0.000 0.501
O5 0.797 0.296 0.296
O6 0.499 0.499 0.203
O7 0.499 0.203 0.499
O8 0.501 0.704 0.000
O9 0.501 0.000 0.704
O10 0.722 0.520 0.520
O11 0.797 0.278 0.797
O12 0.797 0.797 0.278
O13 0.203 0.480 0.000
O14 0.203 0.000 0.480
O15 0.520 0.722 0.520
O16 0.520 0.520 0.722
O17 0.000 0.480 0.203
O18 0.000 0.203 0.480
O19 0.296 0.797 0.296
O20 0.296 0.296 0.797
O21 0.203 0.499 0.499
O22 0.000 0.704 0.501
O23 0.000 0.501 0.704
O24 0.278 0.797 0.797

Calculated values
DOS(E_F)   0.00 states/eV per atom
Formation energy without anion corrections   -2.257 eV per atom
Crystal system   cubic
Final energy   -6.947 eV/atom

No. 4
Er3SbO7 after structural relaxation, computed with GGA-PBE.

abc: 6.423 6.423 7.464
angles: 90.00 90.00 109.38
Positions (direct):
Er1 0.999 0.468 0.750
Er2 0.001 0.532 0.250
Er3 0.532 0.001 0.750
Er4 0.468 0.999 0.250
Er5 0.503 0.503 0.500
Er6 0.497 0.497 0.000
Sb1 0.000 0.000 0.500
Sb2 0.000 0.000 0.000
O1 0.638 0.362 0.750
O2 0.362 0.638 0.250
O3 0.928 0.072 0.750
O4 0.072 0.928 0.250
O5 0.925 0.675 0.530
O6 0.075 0.325 0.030
O7 0.325 0.075 0.970
O8 0.675 0.925 0.470
O9 0.370 0.630 0.750
O10 0.630 0.370 0.250
O11 0.928 0.676 0.969
O12 0.072 0.324 0.469
O13 0.324 0.072 0.531
O14 0.676 0.928 0.031

Calculated values
DOS(E_F)   0.00 states/eV per atom
Formation energy without anion corrections   -3.006 eV per atom
Crystal system   orthorhombic
Final energy   -7.780 eV/atom

No. 5
ErSbO after structural relaxation, computed with GGA-PBE.

abc: 3.524 3.524 6.849
angles: 90.00 90.00 120.00
Positions (direct):
Sb1 0.000 0.000 0.959
O1 0.333 0.667 0.476
Er1 0.667 0.333 0.565

Calculated values
Energy above the lowest structure with this stoichiometry   0 kJ/mol of formula units
DOS(E_F)   0.17 states/eV per atom
Formation energy without anion corrections   -1.985 eV per atom
Crystal system   trigonal
Final energy   -6.532 eV/atom

No. 6
ErSbO after structural relaxation, computed with GGA-PBE.

abc: 3.758 3.758 10.215
angles: 90.00 90.00 120.00
Positions (direct):
Er1 0.667 0.333 0.141
Er2 0.333 0.667 0.859
Sb1 0.667 0.333 0.601
Sb2 0.333 0.667 0.399
O1 0.667 0.333 0.916
O2 0.333 0.667 0.084

Calculated values
Energy above the lowest structure with this stoichiometry   5 kJ/mol of formula units
DOS(E_F)   0.28 states/eV per atom
Formation energy without anion corrections   -1.969 eV per atom
Crystal system   trigonal
Final energy   -6.516 eV/atom

No. 7
TbErSbO2 after structural relaxation, computed with GGA-PBE.

abc: 3.848 3.848 7.200
angles: 105.50 105.50 90.00
Positions (direct):
Tb1 0.835 0.835 0.670
Er1 0.167 0.167 0.334
Sb1 0.501 0.501 0.003
O1 0.748 0.248 0.497
O2 0.248 0.748 0.497

Calculated values
DOS(E_F)   0.26 states/eV per atom
Formation energy without anion corrections   -2.721 eV per atom
Crystal system   tetragonal
Final energy   -7.368 eV/atom

No. 8
Er2Tl2SbO6 after structural relaxation, computed with GGA-PBE.

abc: 5.889 5.889 6.902
angles: 97.54 97.54 119.89
Positions (direct):
Er1 0.334 0.666 0.500
Er2 0.666 0.334 0.500
Tl1 0.836 0.164 0.000
Tl2 0.164 0.836 0.000
Sb1 0.000 0.000 0.500
O1 0.734 0.734 0.661
O2 0.047 0.366 0.661
O3 0.266 0.266 0.339
O4 0.366 0.047 0.661
O5 0.953 0.634 0.339
O6 0.634 0.953 0.339

Calculated values
DOS(E_F)   0.41 states/eV per atom
Formation energy without anion corrections   -2.054 eV per atom
Crystal system   monoclinic
Final energy   -6.393 eV/atom

No. 9
ErTl2Sb2O6 after structural relaxation, computed with GGA-PBE.

abc: 6.171 5.876 7.859
angles: 112.22 90.00 121.67
Positions (direct):
Er1 0.500 0.000 0.500
Tl1 0.715 0.429 0.203
Tl2 0.285 0.571 0.797
Sb1 0.935 0.870 0.759
Sb2 0.065 0.130 0.241
O1 0.739 0.478 0.540
O2 0.185 0.901 0.282
O3 0.283 0.099 0.718
O4 0.815 0.099 0.718
O5 0.717 0.901 0.282
O6 0.261 0.522 0.460

Calculated values
DOS(E_F)   0.27 states/eV per atom
Formation energy without anion corrections   -1.575 eV per atom
Crystal system   monoclinic
Final energy   -5.874 eV/atom

No. 10
ErTmSbO2 after structural relaxation, computed with GGA-PBE.

abc: 3.812 3.812 7.133
angles: 105.50 105.50 90.00
Positions (direct):
Er1 0.834 0.834 0.667
Tm1 0.167 0.167 0.334
Sb1 0.500 0.500 0.001
O1 0.749 0.249 0.499
O2 0.249 0.749 0.499

Calculated values
DOS(E_F)   0.25 states/eV per atom
Formation energy without anion corrections   -2.743 eV per atom
Crystal system   tetragonal
Final energy   -7.358 eV/atom

No. 11
YErSbO2 after structural relaxation, computed with GGA-PBE.

abc: 3.846 3.846 7.193
angles: 105.51 105.51 90.00
Positions (direct):
Y1 0.165 0.165 0.331
Er1 0.833 0.833 0.665
Sb1 0.499 0.499 0.998
O1 0.751 0.251 0.503
O2 0.251 0.751 0.503

Calculated values
DOS(E_F)   0.25 states/eV per atom
Formation energy without anion corrections   -2.706 eV per atom
Crystal system   tetragonal
Final energy   -7.719 eV/atom

No. 12
YErSb2O8 after structural relaxation, computed with GGA-PBE.

abc: 5.245 5.245 6.705
angles: 113.02 113.02 90.00
Positions (direct):
Y1 0.000 0.000 0.000
Er1 0.750 0.250 0.500
Sb1 0.500 0.500 0.000
Sb2 0.250 0.750 0.500
O1 0.772 0.845 0.180
O2 0.408 0.335 0.180
O3 0.593 0.653 0.678
O4 0.085 0.025 0.678
O5 0.975 0.407 0.322
O6 0.347 0.915 0.322
O7 0.155 0.592 0.820
O8 0.665 0.228 0.820

Calculated values
DOS(E_F)   0.00 states/eV per atom
Formation energy without anion corrections   -2.346 eV per atom
Crystal system   tetragonal
Final energy   -7.257 eV/atom

No. 13
ErZrSbO6 after structural relaxation, computed with GGA-PBE.

abc: 5.439 5.439 9.158
angles: 90.00 90.00 120.00
Positions (direct):
Er1 0.333 0.667 0.250
Er2 0.667 0.333 0.750
Zr1 0.000 0.000 0.000
Zr2 0.000 0.000 0.500
Sb1 0.667 0.333 0.250
Sb2 0.333 0.667 0.750
O1 0.685 0.653 0.128
O2 0.967 0.315 0.128
O3 0.315 0.967 0.628
O4 0.033 0.685 0.872
O5 0.347 0.315 0.372
O6 0.967 0.653 0.372
O7 0.653 0.967 0.872
O8 0.685 0.033 0.372
O9 0.033 0.347 0.628
O10 0.347 0.033 0.128
O11 0.653 0.685 0.628
O12 0.315 0.347 0.872

Calculated values
DOS(E_F)   0.00 states/eV per atom
Formation energy without anion corrections   -2.591 eV per atom
Crystal system   trigonal
Final energy   -7.811 eV/atom

No. 14
ErScO4 after structural relaxation, computed with GGA-PBE.

abc: 3.552 3.803 5.956
angles: 95.11 90.00 117.84
Positions (direct):
Er1 0.070 0.141 0.023
Sc1 0.429 0.857 0.477
O1 0.652 0.304 0.787
O2 0.396 0.792 0.116
O3 0.106 0.213 0.407
O4 0.846 0.693 0.690

Calculated values
DOS(E_F)   0.00 states/eV per atom
Formation energy without anion corrections   -2.924 eV per atom
Crystal system   monoclinic
Final energy   -8.045 eV/atom

No. 15
ErScO3 after structural relaxation, computed with GGA-PBE.

abc: 5.548 5.548 5.863
angles: 61.75 61.75 60.00
Positions (direct):
Er1 0.361 0.361 0.917
Er2 0.639 0.639 0.083
Sc1 0.853 0.853 0.441
Sc2 0.147 0.147 0.559
O1 0.770 0.448 0.743
O2 0.039 0.770 0.743
O3 0.448 0.039 0.743
O4 0.230 0.552 0.257
O5 0.961 0.230 0.257
O6 0.552 0.961 0.257

Calculated values
DOS(E_F)   0.00 states/eV per atom
Formation energy without anion corrections   -3.540 eV per atom
Crystal system   trigonal
Final energy   -8.693 eV/atom

No. 16
Er3Sc5O12 after structural relaxation, computed with GGA-PBE.

abc: 11.084 11.084 11.084
angles: 109.47 109.47 109.47
Positions (direct):
Er1 0.750 0.375 0.125
Er2 0.875 0.750 0.125
Er3 0.375 0.750 0.625
Er4 0.250 0.125 0.375
Er5 0.875 0.125 0.250
Er6 0.375 0.625 0.250
Er7 0.625 0.375 0.750
Er8 0.125 0.875 0.750
Er9 0.750 0.875 0.625
Er10 0.625 0.250 0.375
Er11 0.125 0.250 0.875
Er12 0.250 0.625 0.875
Sc1 0.125 0.375 0.250
Sc2 0.000 0.500 0.000
Sc3 0.000 0.000 0.000
Sc4 0.375 0.250 0.125
Sc5 0.500 0.000 0.500
Sc6 0.500 0.500 0.000
Sc7 0.125 0.750 0.375
Sc8 0.750 0.125 0.875
Sc9 0.750 0.625 0.375
Sc10 0.375 0.125 0.750
Sc11 0.625 0.875 0.250
Sc12 0.500 0.500 0.500
Sc13 0.500 0.000 0.000
Sc14 0.000 0.000 0.500
Sc15 0.250 0.375 0.625
Sc16 0.250 0.875 0.125
Sc17 0.000 0.500 0.500
Sc18 0.875 0.250 0.625
Sc19 0.625 0.750 0.875
Sc20 0.875 0.625 0.750
O1 0.714 0.129 0.038
O2 0.324 0.538 0.409
O3 0.962 0.371 0.286
O4 0.538 0.214 0.129
O5 0.585 0.714 0.676
O6 0.962 0.591 0.176
O7 0.324 0.786 0.415
O8 0.091 0.915 0.129
O9 0.591 0.962 0.676
O10 0.714 0.585 0.176
O11 0.786 0.462 0.371
O12 0.824 0.909 0.038
O13 0.129 0.714 0.538
O14 0.371 0.409 0.085
O15 0.085 0.909 0.371
O16 0.415 0.129 0.591
O17 0.085 0.176 0.214
O18 0.462 0.676 0.091
O19 0.824 0.915 0.286
O20 0.129 0.415 0.091
O21 0.371 0.962 0.786
O22 0.591 0.629 0.415
O23 0.909 0.824 0.538
O24 0.786 0.324 0.915
O25 0.409 0.371 0.585
O26 0.091 0.176 0.462
O27 0.214 0.676 0.085
O28 0.176 0.085 0.714
O29 0.629 0.038 0.214
O30 0.871 0.585 0.909
O31 0.538 0.324 0.909
O32 0.585 0.871 0.409
O33 0.915 0.824 0.786
O34 0.915 0.091 0.629
O35 0.871 0.286 0.462
O36 0.176 0.091 0.962
O37 0.629 0.591 0.915
O38 0.409 0.038 0.324
O39 0.286 0.415 0.824
O40 0.214 0.538 0.629
O41 0.909 0.085 0.871
O42 0.676 0.214 0.585
O43 0.462 0.786 0.871
O44 0.038 0.409 0.824
O45 0.415 0.286 0.324
O46 0.038 0.629 0.714
O47 0.676 0.462 0.591
O48 0.286 0.871 0.962

Calculated values
DOS(E_F)   0.00 states/eV per atom
Formation energy without anion corrections   -3.464 eV per atom
Crystal system   cubic
Final energy   -8.707 eV/atom

No. 17
Er2ScO after structural relaxation, computed with GGA-PBE.

abc: 3.105 3.105 8.347
angles: 90.00 90.00 90.00
Positions (direct):
Sc1 0.500 0.500 0.500
O1 0.500 0.500 0.000
Er1 0.000 0.000 0.817
Er2 0.000 0.000 0.183

Calculated values
Energy above the lowest structure with this stoichiometry   186 kJ/mol of formula units
DOS(E_F)   1.41 states/eV per atom
Formation energy without anion corrections   -0.873 eV per atom
Crystal system   tetragonal
Final energy   -5.977 eV/atom

No. 18
Er2Sc6O after structural relaxation, computed with GGA-PBE.

abc: 6.615 6.612 9.470
angles: 90.00 90.02 90.00
Positions (direct):
Er1 0.000 0.500 0.750
Er2 0.500 0.000 0.750
Er3 0.500 0.000 0.250
Er4 0.000 0.500 0.250
Sc1 0.000 0.000 0.262
Sc2 0.759 0.759 0.500
Sc3 0.741 0.741 0.000
Sc4 0.759 0.241 0.500
Sc5 0.741 0.259 0.000
Sc6 0.500 0.500 0.238
Sc7 0.000 0.000 0.738
Sc8 0.241 0.241 0.500
Sc9 0.259 0.259 0.000
Sc10 0.241 0.759 0.500
Sc11 0.259 0.741 0.000
Sc12 0.500 0.500 0.762
O1 0.500 0.500 0.000
O2 0.000 0.000 0.500

Calculated values
DOS(E_F)   1.43 states/eV per atom
Formation energy without anion corrections   -0.573 eV per atom
Crystal system   tetragonal
Final energy   -6.359 eV/atom